[1]
Compound: AlRhCl
Source: the Alexandria database
Functional: PBEsol
Structure: optimized geometry

Results
N(E_F) in states/eV/f.u.: 1.04

Unit cell a=3.166 b=5.082 c=11.902 alpha=90.00 beta=90.00 gamma=90.00
Space group Fmm2 (No. 42)
Symmetry-distinct sites (fractional):
Al (0.000, 0.000, 0.000) x4
Rh (0.000, 0.000, 0.642) x4
Cl (0.000, 0.000, 0.347) x4

***

[2]
Compound: Al2RhCl
Source: the Alexandria database
Functional: PBEsol
Structure: optimized geometry

Results
N(E_F) in states/eV/f.u.: 1.32

Unit cell a=6.606 b=6.602 c=2.812 alpha=90.00 beta=90.38 gamma=90.00
Space group C2/m (No. 12)
Symmetry-distinct sites (fractional):
Al (0.250, 0.250, 0.000) x4
Rh (0.000, 0.000, 0.500) x2
Cl (0.000, 0.500, 0.500) x2

***

[3]
Compound: AlRhCl4
Source: the Alexandria database
Functional: PBEsol
Structure: optimized geometry

Results
N(E_F) in states/eV/f.u.: 8.37

Unit cell a=7.902 b=7.902 c=7.902 alpha=90.00 beta=90.00 gamma=90.00
Space group F-43m (No. 216)
Symmetry-distinct sites (fractional):
Al (0.000, 0.000, 0.000) x4
Rh (0.250, 0.250, 0.750) x4
Cl (0.125, 0.125, 0.375) x16

***

[4]
Compound: YAlRhCl2
Source: the Alexandria database
Functional: PBEsol
Structure: optimized geometry

Results
N(E_F) in states/eV/f.u.: 6.93

Unit cell a=4.915 b=4.915 c=6.264 alpha=90.00 beta=90.00 gamma=90.00
Space group P4/mmm (No. 123)
Symmetry-distinct sites (fractional):
Y (0.000, 0.000, 0.000) x1
Al (0.000, 0.000, 0.500) x1
Rh (0.500, 0.500, 0.500) x1
Cl (0.000, 0.500, 0.000) x2

***

[5]
Compound: Al4RuCl
Source: the Alexandria database
Functional: PBEsol
Structure: optimized geometry

Results
N(E_F) in states/eV/f.u.: 4.44

Unit cell a=7.299 b=7.299 c=7.299 alpha=90.00 beta=90.00 gamma=90.00
Space group F-43m (No. 216)
Symmetry-distinct sites (fractional):
Al (0.124, 0.124, 0.376) x16
Ru (0.250, 0.250, 0.750) x4
Cl (0.000, 0.000, 0.000) x4

***

[6]
Compound: AlRuCl2
Source: the Alexandria database
Functional: PBEsol
Structure: optimized geometry

Results
N(E_F) in states/eV/f.u.: 2.58

Unit cell a=3.721 b=3.035 c=6.998 alpha=90.00 beta=99.15 gamma=90.00
Space group Pm (No. 6)
Symmetry-distinct sites (fractional):
Al (0.000, 0.000, 0.000) x1
Ru (0.461, 0.500, 0.888) x1
Cl (0.367, 0.000, 0.619) x1
Cl (0.774, 0.500, 0.227) x1

***

So what do the calculations give for formation energy without anion corrections? Going down the list: -7.5; -8.5; 21.0; 3.9; 7.3; -8.7 kcal/mol of atoms.
So what do the calculations give for DFT total energy? Going down the list: -5.069; -4.950; -2.464; -4.446; -4.440; -4.946 eV/atom.